Record 1
# Ca3Si3Pt2

A relaxed structure of Ca3Si3Pt2 (PBE, Alexandria via LeMat-Bulk).

Cell: 5.748 8.149 14.240 Å, 90.00 90.00 90.00°
Positions (direct):
Ca 0.124 0.452 0.386
Ca 0.624 0.048 0.614
Ca 0.876 0.548 0.886
Ca 0.376 0.952 0.114
Ca 0.876 0.548 0.614
Ca 0.376 0.952 0.386
Ca 0.124 0.452 0.114
Ca 0.624 0.048 0.886
Ca 0.611 0.303 0.250
Ca 0.111 0.197 0.750
Ca 0.389 0.697 0.750
Ca 0.889 0.803 0.250
Si 0.087 0.151 0.250
Si 0.587 0.349 0.750
Si 0.913 0.849 0.750
Si 0.413 0.651 0.250
Si 0.631 0.315 0.460
Si 0.131 0.185 0.540
Si 0.369 0.685 0.960
Si 0.869 0.815 0.040
Si 0.369 0.685 0.540
Si 0.869 0.815 0.460
Si 0.631 0.315 0.040
Si 0.131 0.185 0.960
Pt 0.880 0.097 0.405
Pt 0.380 0.403 0.595
Pt 0.120 0.903 0.905
Pt 0.620 0.597 0.095
Pt 0.120 0.903 0.595
Pt 0.620 0.597 0.405
Pt 0.880 0.097 0.095
Pt 0.380 0.403 0.905

size of the total moment	0.00	Bohr magnetons per cell
space-group type	No. 62
energy	-5.09	eV/atom
E_form (uncorrected)	-18.37	kcal/mol of atoms

***

Record 2
# TiInTcC2

A relaxed structure of TiInTcC2 (PBE, Alexandria via LeMat-Bulk).

Cell: 4.008 5.382 4.008 Å, 90.00 90.00 90.00°
Positions (direct):
C 0.000 0.000 0.500
C 0.500 0.000 0.000
Ti 0.000 0.000 0.000
Tc 0.500 0.500 0.500
In 0.000 0.500 0.000

size of the total moment	2.63	Bohr magnetons per cell
space-group type	No. 123
ΔH_f (0 K)	897	kJ/mol of formula units
energy	-6.03	eV/atom

***

Record 3
# Rb6IrF12

A relaxed structure of Rb6IrF12 (PBE, Alexandria via LeMat-Bulk).

Cell: 7.972 7.972 7.972 Å, 99.57 99.57 99.57°
Positions (direct):
Rb 0.150 0.334 0.593
Rb 0.666 0.407 0.850
Rb 0.407 0.850 0.666
Rb 0.850 0.666 0.407
Rb 0.334 0.593 0.150
Rb 0.593 0.150 0.334
Ir 0.000 0.000 0.000
F 0.414 0.170 0.603
F 0.170 0.603 0.414
F 0.603 0.414 0.170
F 0.586 0.830 0.397
F 0.830 0.397 0.586
F 0.397 0.586 0.830
F 0.021 0.922 0.765
F 0.235 0.979 0.078
F 0.078 0.235 0.979
F 0.979 0.078 0.235
F 0.765 0.021 0.922
F 0.922 0.765 0.021

size of the total moment	3.17	Bohr magnetons per cell
space-group type	No. 148
energy	-4.17	eV/atom
E_form (uncorrected)	-51.18	kcal/mol of atoms

***

Record 4
# LiBeP2

A relaxed structure of LiBeP2 (PBE, Alexandria via LeMat-Bulk).

Cell: 3.837 3.837 5.205 Å, 78.25 78.25 48.48°
Positions (direct):
Be 0.250 0.250 0.250
Li 0.750 0.750 0.750
P 0.992 0.992 0.073
P 0.508 0.508 0.427

size of the total moment	0.00	Bohr magnetons per cell
space-group type	No. 12
ΔH_f (0 K)	-50	kJ/mol of formula units
energy	-4.25	eV/atom

***

What did the third record say?
# Rb6IrF12

A relaxed structure of Rb6IrF12 (PBE, Alexandria via LeMat-Bulk).

Cell: 7.972 7.972 7.972 Å, 99.57 99.57 99.57°
Positions (direct):
Rb 0.150 0.334 0.593
Rb 0.666 0.407 0.850
Rb 0.407 0.850 0.666
Rb 0.850 0.666 0.407
Rb 0.334 0.593 0.150
Rb 0.593 0.150 0.334
Ir 0.000 0.000 0.000
F 0.414 0.170 0.603
F 0.170 0.603 0.414
F 0.603 0.414 0.170
F 0.586 0.830 0.397
F 0.830 0.397 0.586
F 0.397 0.586 0.830
F 0.021 0.922 0.765
F 0.235 0.979 0.078
F 0.078 0.235 0.979
F 0.979 0.078 0.235
F 0.765 0.021 0.922
F 0.922 0.765 0.021

size of the total moment	3.17	Bohr magnetons per cell
space-group type	No. 148
energy	-4.17	eV/atom
E_form (uncorrected)	-51.18	kcal/mol of atoms